(1)
# La2Sm2CBr4Cl PBE relaxed
# - relative energy among the computed polymorphs (eV per atom) = 0.005
data_La2Sm2CBr4Cl
_chemical_formula_sum 'La4 Sm4 C2 Br8 Cl2'
_space_group_name_H-M_alt 'C 1 2/m 1'
_space_group_IT_number 12
_cell_length_a 18.447
_cell_length_b 3.920
_cell_length_c 8.172
_cell_angle_alpha 90.00
_cell_angle_beta 104.23
_cell_angle_gamma 90.00
loop_
_space_group_symop_operation_xyz
'x,y,z'
'-x,-y,-z'
'-x,y,-z'
'x,-y,z'
'x+1/2,y+1/2,z'
'-x+1/2,-y+1/2,-z'
'-x+1/2,y+1/2,-z'
'x+1/2,-y+1/2,z'
loop_
_atom_site_label
_atom_site_type_symbol
_atom_site_fract_x
_atom_site_fract_y
_atom_site_fract_z
_atom_site_occupancy
La1 La 0.145 0.000 0.083 1
Sm1 Sm 0.001 0.500 0.789 1
C1 C 0.000 0.000 0.000 1
Br1 Br 0.161 0.500 0.368 1
Br2 Br 0.167 0.500 0.812 1
Cl1 Cl 0.000 0.000 0.500 1

***

(2)
# LuGa PBE relaxed
# - DFT total energy (Ry/atom) = -0.3029
data_LuGa
_chemical_formula_sum 'Lu2 Ga2'
_space_group_name_H-M_alt 'P 63/m m c'
_space_group_IT_number 194
_space_group_name_Hall '-P 6c 2c'
_cell_length_a 4.5826
_cell_length_b 4.5826
_cell_length_c 5.3448
_cell_angle_alpha 90.00
_cell_angle_beta 90.00
_cell_angle_gamma 120.00
loop_
_atom_site_label
_atom_site_type_symbol
_atom_site_fract_x
_atom_site_fract_y
_atom_site_fract_z
_atom_site_occupancy
Lu1 Lu 0.3333 0.6667 0.2500 1
Ga1 Ga 0.0000 0.0000 0.0000 1

***

(3)
# LiTbFeTe3 PBE relaxed
# - relative energy among the computed polymorphs (eV per atom) = 0.000
data_LiTbFeTe3
_chemical_formula_sum 'Li4 Tb4 Fe4 Te12'
_space_group_name_H-M_alt 'P n m a'
_space_group_IT_number 62
_cell_length_a 13.942
_cell_length_b 4.115
_cell_length_c 11.643
_cell_angle_alpha 90.00
_cell_angle_beta 90.00
_cell_angle_gamma 90.00
loop_
_space_group_symop_operation_xyz
'x,y,z'
'-x,-y,-z'
'-x+1/2,-y,z+1/2'
'x+1/2,y,-z+1/2'
'x+1/2,-y+1/2,-z+1/2'
'-x+1/2,y+1/2,z+1/2'
'-x,y+1/2,-z'
'x,-y+1/2,z'
loop_
_atom_site_label
_atom_site_type_symbol
_atom_site_fract_x
_atom_site_fract_y
_atom_site_fract_z
_atom_site_occupancy
Li1 Li 0.213 0.250 0.080 1
Tb1 Tb 0.001 0.250 0.338 1
Fe1 Fe 0.005 0.750 0.072 1
Te1 Te 0.116 0.750 0.890 1
Te2 Te 0.132 0.250 0.553 1
Te3 Te 0.137 0.750 0.235 1